Entry from Alexandria via LeMat-Bulk: a relaxed structure of Sm2PO (PBE).

Structure (POSCAR):
```
Sm2PO
1.0
7.191 0.000 0.000
0.000 7.077 0.000
-1.018 0.000 7.191
Sm P O
8 4 4
Direct
0.065 0.168 0.351
0.065 0.332 0.851
0.400 0.748 0.477
0.400 0.752 0.977
0.600 0.248 0.023
0.600 0.252 0.523
0.935 0.668 0.149
0.935 0.832 0.649
0.348 0.070 0.723
0.348 0.430 0.223
0.652 0.570 0.777
0.652 0.930 0.277
0.096 0.658 0.886
0.096 0.842 0.386
0.904 0.158 0.614
0.904 0.342 0.114
```

Summary:
crystal system: monoclinic
calculated density: 6.3 Mg/m³
size of the total moment: 0.00 μB/atom
space group: No. 14
excess energy over the best structure of this formula in the dataset: 0.026 eV per atom
formation energy without anion corrections: -2073 meV/atom



Entry from Alexandria via LeMat-Bulk: a relaxed structure of Sm3PO6 (PBE).

Structure (POSCAR):
```
Sm3PO6
1.0
4.499 -5.656 0.000
4.499 5.656 0.000
0.000 0.000 6.059
Sm P O
6 2 12
Direct
0.094 0.906 0.500
0.193 0.413 0.466
0.413 0.193 0.966
0.587 0.807 0.466
0.807 0.587 0.966
0.906 0.094 0.000
0.329 0.671 0.905
0.671 0.329 0.405
0.111 0.605 0.806
0.154 0.174 0.735
0.174 0.154 0.235
0.277 0.723 0.386
0.395 0.889 0.806
0.449 0.551 0.745
0.551 0.449 0.245
0.605 0.111 0.306
0.723 0.277 0.886
0.826 0.846 0.735
0.846 0.826 0.235
0.889 0.395 0.306
```

Summary:
crystal system: orthorhombic
calculated density: 6.2 Mg/m³
size of the total moment: 0.00 μB/atom
space group: No. 36
formation energy without anion corrections: -3002 meV/atom



Entry from Alexandria via LeMat-Bulk: a relaxed structure of SmP5O14 (PBE).

Structure (POSCAR):
```
SmP5O14
1.0
8.886 0.000 0.000
0.000 9.102 0.000
-0.049 0.000 13.123
Sm P O
4 20 56
Direct
0.222 0.188 0.001
0.222 0.312 0.501
0.778 0.688 0.499
0.778 0.812 0.999
0.004 0.502 0.702
0.004 0.998 0.202
0.183 0.745 0.500
0.183 0.755 0.000
0.258 0.547 0.164
0.258 0.953 0.664
0.266 0.549 0.836
0.266 0.951 0.336
0.497 0.001 0.826
0.497 0.499 0.326
0.503 0.501 0.674
0.503 0.999 0.174
0.734 0.049 0.664
0.734 0.451 0.164
0.742 0.047 0.336
0.742 0.453 0.836
0.817 0.245 0.000
0.817 0.255 0.500
0.996 0.002 0.798
0.996 0.498 0.298
0.029 0.689 0.998
0.029 0.811 0.498
0.087 0.116 0.853
0.087 0.384 0.353
0.088 0.116 0.148
0.088 0.384 0.648
0.101 0.580 0.215
0.101 0.920 0.715
0.117 0.591 0.777
0.117 0.909 0.277
0.212 0.585 0.500
0.212 0.915 0.000
0.269 0.096 0.386
0.269 0.404 0.886
0.274 0.096 0.612
0.274 0.404 0.112
0.280 0.687 0.096
0.280 0.813 0.596
0.287 0.686 0.908
0.287 0.814 0.408
0.378 0.581 0.251
0.378 0.919 0.751
0.397 0.582 0.758
0.397 0.918 0.258
0.418 0.116 0.120
0.418 0.384 0.620
0.420 0.121 0.884
0.420 0.379 0.384
0.580 0.621 0.616
0.580 0.879 0.116
0.582 0.616 0.380
0.582 0.884 0.880
0.603 0.082 0.742
0.603 0.418 0.242
0.622 0.081 0.249
0.622 0.419 0.749
0.713 0.186 0.592
0.713 0.314 0.092
0.720 0.187 0.404
0.720 0.313 0.904
0.726 0.596 0.888
0.726 0.904 0.388
0.731 0.596 0.114
0.731 0.904 0.614
0.788 0.085 0.000
0.788 0.415 0.500
0.883 0.091 0.723
0.883 0.409 0.223
0.899 0.080 0.285
0.899 0.420 0.785
0.912 0.616 0.352
0.912 0.884 0.852
0.913 0.616 0.647
0.913 0.884 0.147
0.971 0.189 0.502
0.971 0.311 0.002
```

Summary:
crystal system: monoclinic
calculated density: 3.3 Mg/m³
size of the total moment: 0.00 μB/atom
space group: No. 14
formation energy without anion corrections: -2334 meV/atom



Entry from Alexandria via LeMat-Bulk: a relaxed structure of Sm5P4O (PBE).

Structure (POSCAR):
```
Sm5P4O
1.0
-4.473 4.473 2.882
4.473 -4.473 2.882
4.473 4.473 -2.882
Sm P O
5 4 1
Direct
0.000 0.000 0.000
0.263 0.652 0.807
0.456 0.263 0.611
0.652 0.845 0.389
0.845 0.456 0.193
0.150 0.354 0.396
0.354 0.958 0.204
0.754 0.150 0.796
0.958 0.754 0.604
0.606 0.606 0.000
```

Summary:
crystal system: tetragonal
calculated density: 6.4 Mg/m³
size of the total moment: 0.00 μB/atom
space group: No. 79
formation energy without anion corrections: -1782 meV/atom



Entry from Alexandria via LeMat-Bulk: a relaxed structure of Sm6PO12 (PBE).

Structure (POSCAR):
```
Sm6PO12
1.0
4.974 2.872 3.152
-4.974 2.872 3.152
0.000 -5.743 3.152
Sm P O
6 1 12
Direct
0.106 0.802 0.643
0.198 0.357 0.894
0.357 0.894 0.198
0.643 0.106 0.802
0.802 0.643 0.106
0.894 0.198 0.357
0.500 0.500 0.500
0.057 0.904 0.323
0.096 0.677 0.943
0.233 0.435 0.523
0.323 0.057 0.904
0.435 0.523 0.233
0.477 0.767 0.565
0.523 0.233 0.435
0.565 0.477 0.767
0.677 0.943 0.096
0.767 0.565 0.477
0.904 0.323 0.057
0.943 0.096 0.677
```

Summary:
crystal system: trigonal
calculated density: 6.9 Mg/m³
size of the total moment: 0.06 μB/atom
space group: No. 148
formation energy without anion corrections: -3023 meV/atom



Entry from Alexandria via LeMat-Bulk: a relaxed structure of Sm2PO (PBE).

Structure (POSCAR):
```
Sm2PO
1.0
3.737 0.000 0.000
-1.869 3.237 0.000
0.000 0.000 20.004
Sm P O
6 3 3
Direct
0.000 0.000 0.000
0.000 0.000 0.161
0.333 0.667 0.667
0.333 0.667 0.827
0.667 0.333 0.333
0.667 0.333 0.494
0.000 0.000 0.580
0.333 0.667 0.247
0.667 0.333 0.913
0.000 0.000 0.408
0.333 0.667 0.075
0.667 0.333 0.741
```

Summary:
crystal system: trigonal
calculated density: 7.2 Mg/m³
size of the total moment: 0.00 μB/atom
space group: No. 160
excess energy over the best structure of this formula in the dataset: 0.199 eV per atom
formation energy without anion corrections: -1899 meV/atom



Entry from Alexandria via LeMat-Bulk: a relaxed structure of Sm2PO (PBE).

Structure (POSCAR):
```
Sm2PO
1.0
3.839 0.000 0.000
-1.920 3.325 0.000
0.000 0.000 18.511
Sm P O
6 3 3
Direct
0.000 0.000 0.242
0.000 0.000 0.758
0.333 0.667 0.425
0.333 0.667 0.908
0.667 0.333 0.092
0.667 0.333 0.575
0.000 0.000 0.000
0.333 0.667 0.667
0.667 0.333 0.333
0.000 0.000 0.500
0.333 0.667 0.167
0.667 0.333 0.833
```

Summary:
crystal system: trigonal
calculated density: 7.3 Mg/m³
size of the total moment: 0.00 μB/atom
space group: No. 166
excess energy over the best structure of this formula in the dataset: 0.000 eV per atom
formation energy without anion corrections: -2098 meV/atom



Entry from Alexandria via LeMat-Bulk: a relaxed structure of SmSnP2O8 (PBE).

Structure (POSCAR):
```
SmSnP2O8
1.0
2.727 1.575 5.700
-2.727 1.575 5.700
0.000 -3.149 5.700
Sm Sn P O
1 1 2 8
Direct
0.000 0.000 0.000
0.500 0.500 0.500
0.224 0.224 0.224
0.776 0.776 0.776
0.053 0.581 0.597
0.134 0.134 0.134
0.403 0.947 0.419
0.419 0.403 0.947
0.581 0.597 0.053
0.597 0.053 0.581
0.866 0.866 0.866
0.947 0.419 0.403
```

Summary:
crystal system: trigonal
calculated density: 5.2 Mg/m³
size of the total moment: 0.00 μB/atom
space group: No. 148
formation energy without anion corrections: -2246 meV/atom



Entry from Alexandria via LeMat-Bulk: a relaxed structure of SmTlP2O6 (PBE).

Structure (POSCAR):
```
SmTlP2O6
1.0
3.888 -5.670 0.000
3.888 5.670 0.000
-0.811 0.000 8.564
Sm Tl P O
2 2 4 12
Direct
0.161 0.839 0.750
0.839 0.161 0.250
0.419 0.581 0.250
0.581 0.419 0.750
0.015 0.747 0.314
0.253 0.985 0.186
0.747 0.015 0.814
0.985 0.253 0.686
0.038 0.477 0.763
0.102 0.767 0.484
0.174 0.181 0.707
0.181 0.174 0.207
0.233 0.898 0.016
0.477 0.038 0.263
0.523 0.962 0.737
0.767 0.102 0.984
0.819 0.826 0.793
0.826 0.819 0.293
0.898 0.233 0.516
0.962 0.523 0.237
```

Summary:
crystal system: monoclinic
calculated density: 4.5 Mg/m³
size of the total moment: 0.00 μB/atom
space group: No. 15
formation energy without anion corrections: -2344 meV/atom



Entry from Alexandria via LeMat-Bulk: a relaxed structure of SmTmP2O8 (PBE).

Structure (POSCAR):
```
SmTmP2O8
1.0
5.244 0.000 0.000
-2.622 4.542 0.000
0.000 0.000 7.005
Sm Tm P O
1 1 2 8
Direct
0.000 0.000 0.000
0.000 0.000 0.500
0.333 0.667 0.796
0.667 0.333 0.204
0.173 0.345 0.720
0.173 0.827 0.720
0.333 0.667 0.014
0.345 0.173 0.280
0.655 0.827 0.720
0.667 0.333 0.986
0.827 0.173 0.280
0.827 0.655 0.280
```

Summary:
crystal system: trigonal
calculated density: 5.1 Mg/m³
size of the total moment: 0.00 μB/atom
space group: No. 164
formation energy without anion corrections: -2911 meV/atom